Record 1
Entry from the Alexandria database: a relaxed structure of ThTeAs (GGA-PBE).

a b c (Å): 4.014 4.014 5.850
angles (deg): 110.07 110.07 90.00
Positions (direct):
As  0.300  0.300  0.599
Te  0.015  0.015  0.030
Th  0.685  0.685  0.370

Results
E_tot: -18.0 eV/cell
volume: 27.47 Å³/atom


Record 2
Entry from the Alexandria database: a relaxed structure of HfSbN3 (GGA-PBE).

a b c (Å): 4.170 4.170 4.170
angles (deg): 90.00 90.00 90.00
Last column: magnetic moment on the atom in μB.
Positions (direct):
Sb  0.500  0.500  0.500  -0.07
Hf  0.000  0.000  0.000  0.05
N  0.000  0.500  0.000  0.43
N  0.000  0.000  0.500  0.53
N  0.500  0.000  0.000  0.27

Results
E_tot: -36.6 eV/cell
volume: 14.50 Å³/atom


Record 3
Entry from the Alexandria database: a relaxed structure of BeTe2As (GGA-PBE).

a b c (Å): 8.341 8.341 3.836
angles (deg): 94.13 94.13 26.73
Positions (direct):
Be  0.688  0.688  0.476
As  0.550  0.550  0.500
Te  0.994  0.994  0.047
Te  0.269  0.269  0.477

Results
polymorph energy (0 for the lowest one): 1.37 kcal/mol of atoms
E_tot: -14.2 eV/cell
volume: 29.93 Å³/atom